[1]
Density functional theory data (PBE) for Ta4AlBr after structural relaxation.

Unit cell a=5.5521 b=5.5521 c=5.5521 alpha=60.00 beta=60.00 gamma=60.00
Closest atoms and distances in Å follow each position.
Positions (direct):
Ta: 0.1235 0.1235 0.1235  6 Ta 2.74-2.81
Ta: 0.1235 0.1235 0.6295  6 Ta 2.74-2.81
Ta: 0.1235 0.6295 0.1235  6 Ta 2.74-2.81
Ta: 0.6295 0.1235 0.1235  6 Ta 2.74-2.81
Al: 0.7500 0.7500 0.7500  12 Ta 3.25, 4 Br 3.40
Br: 0.5000 0.5000 0.5000  12 Ta 3.26, 4 Al 3.40

## Properties
size of the total moment	0.00	μB per atom
theoretical density	11.40	Mg/m³
formation energy (no corrections)	0.723	eV/atom

[2]
Density functional theory data (PBE) for Ta2AlBr after structural relaxation.

Unit cell a=9.2763 b=9.2763 c=9.2763 alpha=18.74 beta=18.74 gamma=18.74
Closest atoms and distances in Å follow each position.
Positions (direct):
Ta: 0.2484 0.2484 0.2484  3 Br 2.83, 3 Al 2.90, 6 Ta 3.02
Ta: 0.7516 0.7516 0.7516  3 Br 2.83, 3 Al 2.90, 6 Ta 3.02
Al: 0.0000 0.0000 0.0000  6 Ta 2.90, 6 Al 3.02
Br: 0.5000 0.5000 0.5000  6 Ta 2.83, 6 Br 3.02

## Properties
size of the total moment	0.00	μB per atom
theoretical density	10.81	Mg/m³
ΔE to the lowest computed polymorph	0.082	eV/atom
formation energy (no corrections)	0.239	eV/atom

[3]
Density functional theory data (PBE) for Ta3AlBr after structural relaxation.

Unit cell a=4.7048 b=4.7048 c=4.7048 alpha=90.00 beta=90.00 gamma=90.00
Closest atoms and distances in Å follow each position.
Positions (direct):
Ta: 0.0000 0.0000 0.5000  2 Br 2.35
Ta: 0.0000 0.5000 0.0000  2 Br 2.35
Ta: 0.5000 0.0000 0.0000  2 Br 2.35
Al: 0.5000 0.5000 0.5000  12 Ta 3.33
Br: 0.0000 0.0000 0.0000  6 Ta 2.35

## Properties
size of the total moment	0.00	μB per atom
theoretical density	10.36	Mg/m³
ΔE to the lowest computed polymorph	0.000	eV/atom
formation energy (no corrections)	1.424	eV/atom

[4]
Density functional theory data (PBE) for TaAlBr2 after structural relaxation.

Unit cell a=7.6910 b=7.6910 c=4.7994 alpha=99.72 beta=99.72 gamma=23.56
Closest atoms and distances in Å follow each position.
Positions (direct):
Ta: 0.0000 0.0000 0.0000  4 Br 2.68, 4 Al 2.87
Al: 0.5000 0.5000 0.5000  2 Br 2.82, 4 Ta 2.87, 2 Al 3.14
Br: 0.3576 0.3576 0.8125  2 Ta 2.68, 1 Al 2.82
Br: 0.6424 0.6424 0.1875  2 Ta 2.68, 1 Al 2.82

## Properties
size of the total moment	0.00	μB per atom
theoretical density	5.46	Mg/m³
ΔE to the lowest computed polymorph	0.313	eV/atom
formation energy (no corrections)	-0.093	eV/atom

[5]
Density functional theory data (PBE) for Ta2AlBr after structural relaxation.

Unit cell a=3.0403 b=3.0403 c=7.7162 alpha=90.00 beta=90.00 gamma=90.00
Closest atoms and distances in Å follow each position.
Positions (direct):
Ta: 0.0000 0.0000 0.2335  4 Al 2.80, 4 Br 2.98, 4 Ta 3.04
Ta: 0.0000 0.0000 0.7665  4 Al 2.80, 4 Br 2.98, 4 Ta 3.04
Al: 0.5000 0.5000 0.0000  8 Ta 2.80, 4 Al 3.04
Br: 0.5000 0.5000 0.5000  8 Ta 2.98, 4 Br 3.04

## Properties
size of the total moment	0.00	μB per atom
theoretical density	10.91	Mg/m³
ΔE to the lowest computed polymorph	0.234	eV/atom
formation energy (no corrections)	0.391	eV/atom

[6]
Density functional theory data (PBE) for TaAl2Br after structural relaxation.

Unit cell a=5.2925 b=5.2925 c=5.2925 alpha=135.22 beta=135.22 gamma=65.19
Closest atoms and distances in Å follow each position.
Positions (direct):
Ta: 0.0000 0.0000 0.0000  4 Br 2.85, 8 Al 3.01
Al: 0.2500 0.7500 0.5000  4 Al 2.85, 4 Ta 3.01, 4 Br 3.01
Al: 0.7500 0.2500 0.5000  4 Al 2.85, 4 Ta 3.01, 4 Br 3.01
Br: 0.5000 0.5000 0.0000  4 Ta 2.85, 8 Al 3.01

## Properties
size of the total moment	0.00	μB per atom
theoretical density	7.21	Mg/m³
ΔE to the lowest computed polymorph	0.538	eV/atom
formation energy (no corrections)	0.470	eV/atom

The evaluated total DFT energy (no corrections) for the records listed, in turn: -8.08 -7.04 -6.77 -4.83 -6.89 -4.78 eV per atom.